one | Material: ZrSi2Pb2
Method: DFT, GGA-PBE
State: optimized geometry

Lattice parameters (Å, degrees): 7.6607 7.6607 7.6607 148.42 148.42 45.27
Last column: nearest neighbours and their distance in Å.
Element x y z (fractional)
1 Zr 0.0000 0.0000 0.0000  8 Si 3.16
2 Si 0.4195 0.4195 0.0000  1 Si 2.28
3 Si 0.5805 0.5805 0.0000  1 Si 2.28
4 Pb 0.2500 0.7500 0.5000  4 Pb 2.95, 4 Si 3.18
5 Pb 0.7500 0.2500 0.5000  4 Pb 2.95, 4 Si 3.18

---

two | Material: ZrSi2Pb2
Method: DFT, GGA-PBE
State: optimized geometry

Lattice parameters (Å, degrees): 7.1373 7.1373 4.4862 90.00 90.00 90.00
Last column: nearest neighbours and their distance in Å.
Element x y z (fractional)
1 Zr 0.0000 0.0000 0.0000  4 Si 2.84
2 Zr 0.5000 0.5000 0.0000  4 Si 2.84
3 Si 0.1208 0.3792 0.0000  1 Si 2.44
4 Si 0.3792 0.8792 0.0000  1 Si 2.44
5 Si 0.6208 0.1208 0.0000  1 Si 2.44
6 Si 0.8792 0.6208 0.0000  1 Si 2.44
7 Pb 0.1830 0.6830 0.5000  6 Si 2.99-3.15
8 Pb 0.3170 0.1830 0.5000  6 Si 2.99-3.15
9 Pb 0.6830 0.8170 0.5000  6 Si 2.99-3.15
10 Pb 0.8170 0.3170 0.5000  6 Si 2.99-3.15

---

Most stable pick: two. Distance to second place: 293 meV per atom.